[1]
The following is a DFT calculation (PBE) of a geometry-optimized YGePd2 structure.

magnetization	0.00	μB/atom
calculated total energy	-5.980	eV/atom

CIF file:
```
data_YGePd2
_chemical_formula_sum 'Y1 Ge1 Pd2'
_cell_length_a 4.716
_cell_length_b 4.716
_cell_length_c 4.716
_cell_angle_alpha 60.00
_cell_angle_beta 60.00
_cell_angle_gamma 60.00
_space_group_name_H-M_alt 'P 1'
_space_group_IT_number 1
loop_
_space_group_symop_operation_xyz
'x,y,z'
loop_
_atom_site_label
_atom_site_type_symbol
_atom_site_fract_x
_atom_site_fract_y
_atom_site_fract_z
Ge1 Ge 0.500 0.500 0.500
Pd1 Pd 0.000 0.000 0.000
Pd2 Pd 0.750 0.750 0.750
Y1 Y 0.250 0.250 0.250
```

---

[2]
The following is a DFT calculation (PBE) of a geometry-optimized SmLuFe structure.

distance to the lowest polymorph of the same formula	0	meV/atom
magnetization	0.04	μB/atom
formation energy from the elements	62	kJ/mol of formula units
calculated total energy	-5.634	eV/atom

CIF file:
```
data_SmLuFe
_chemical_formula_sum 'Sm1 Lu1 Fe1'
_cell_length_a 4.667
_cell_length_b 4.667
_cell_length_c 4.667
_cell_angle_alpha 60.00
_cell_angle_beta 60.00
_cell_angle_gamma 60.00
_space_group_name_H-M_alt 'P 1'
_space_group_IT_number 1
loop_
_space_group_symop_operation_xyz
'x,y,z'
loop_
_atom_site_label
_atom_site_type_symbol
_atom_site_fract_x
_atom_site_fract_y
_atom_site_fract_z
Fe1 Fe 0.000 0.000 0.000
Sm1 Sm 0.750 0.750 0.750
Lu1 Lu 0.250 0.250 0.250
```

---

[3]
The following is a DFT calculation (PBE) of a geometry-optimized UTlMo structure.

distance to the lowest polymorph of the same formula	0	meV/atom
magnetization	0.43	μB/atom
calculated total energy	-7.251	eV/atom

CIF file:
```
data_UTlMo
_chemical_formula_sum 'U1 Tl1 Mo1'
_cell_length_a 4.682
_cell_length_b 4.682
_cell_length_c 4.682
_cell_angle_alpha 60.00
_cell_angle_beta 60.00
_cell_angle_gamma 60.00
_space_group_name_H-M_alt 'P 1'
_space_group_IT_number 1
loop_
_space_group_symop_operation_xyz
'x,y,z'
loop_
_atom_site_label
_atom_site_type_symbol
_atom_site_fract_x
_atom_site_fract_y
_atom_site_fract_z
Mo1 Mo 0.000 0.000 0.000
Tl1 Tl 0.250 0.250 0.250
U1 U 0.750 0.750 0.750
```